1.
First-principles (PBE-GGA) data for a relaxed structure of PuCuNi, as listed in the Alexandria database.

a b c (Å): 5.0299 5.2218 7.2579
angles (deg): 90.00 90.00 90.00
With the nearest neighbours (Å) after each atom.
Space group Imma (No. 74)
Inequivalent atoms, fractional coordinates:
Pu (0.0000, 0.2500, 0.1291)  6 Ni 2.98-2.99, 6 Cu 3.02-3.03, 4 Pu 3.07-3.21
Cu (0.2500, 0.2500, 0.7500)  2 Cu 2.51, 4 Ni 2.56
Ni (0.0000, 0.0000, 0.5000)  4 Cu 2.56, 2 Ni 2.61

Values from the calculation:
Final energy = -8.21 eV per atom
Energy above the most stable polymorph in this dataset = 0 meV per atom
Volume = 15.886 Å³ per atom
Energy relative to the elements = -0.145 eV/atom

2.
First-principles (PBE-GGA) data for a relaxed structure of Pu5Cu2Ni12, as listed in the Alexandria database.

a b c (Å): 14.8248 6.4148 6.0537
angles (deg): 90.00 93.44 90.00
With the nearest neighbours (Å) after each atom.
Space group C2/m (No. 12)
Inequivalent atoms, fractional coordinates:
Pu (0.0000, 0.0000, 0.0000)  8 Ni 2.63-2.76
Pu (0.1899, 0.5000, 0.5497)  5 Ni 2.67-2.99
Pu (0.2410, 0.0000, 0.9202)  9 Ni 2.63-2.93
Cu (0.0000, 0.2814, 0.5000)  8 Ni 2.53-2.68, 1 Cu 2.80
Ni (0.0474, 0.5000, 0.1792)  7 Ni 2.43-2.51, 2 Cu 2.53
Ni (0.0990, 0.3059, 0.8575)  5 Ni 2.47-2.56, 1 Cu 2.55, 2 Pu 2.63-2.67
Ni (0.1162, 0.0000, 0.5920)  4 Ni 2.43-2.56, 2 Cu 2.53, 1 Pu 2.63
Ni (0.1381, 0.1897, 0.2513)  4 Ni 2.43-2.53, 1 Cu 2.68

Values from the calculation:
Final energy = -7.93 eV per atom
Volume = 15.123 Å³ per atom
Energy relative to the elements = -0.079 eV/atom

3.
First-principles (PBE-GGA) data for a relaxed structure of PuCuNi, as listed in the Alexandria database.

a b c (Å): 4.2273 4.2273 3.3910
angles (deg): 90.00 90.00 120.00
With the nearest neighbours (Å) after each atom.
Space group P-6m2 (No. 187)
Inequivalent atoms, fractional coordinates:
Pu (0.0000, 0.0000, 0.0000)  6 Ni 2.97, 6 Cu 2.97
Cu (0.3333, 0.6667, 0.5000)  3 Ni 2.44
Ni (0.6667, 0.3333, 0.5000)  3 Cu 2.44

Values from the calculation:
Final energy = -8.08 eV per atom
Energy above the most stable polymorph in this dataset = 130 meV per atom
Volume = 17.493 Å³ per atom
Energy relative to the elements = -0.015 eV/atom

4.
First-principles (PBE-GGA) data for a relaxed structure of Pu2CuNi3, as listed in the Alexandria database.

a b c (Å): 5.1329 5.1329 12.1946
angles (deg): 90.00 90.00 120.00
With the nearest neighbours (Å) after each atom.
Space group R-3m (No. 166, hexagonal axes)
Inequivalent atoms, fractional coordinates:
Pu (0.0000, 0.0000, 0.1237)  9 Ni 2.95-2.98, 3 Cu 3.01, 4 Pu 3.02-3.14
Cu (0.0000, 0.0000, 0.5000)  6 Ni 2.52
Ni (0.0000, 0.5000, 0.0000)  2 Cu 2.52, 4 Ni 2.57

Values from the calculation:
Final energy = -8.57 eV per atom
Volume = 15.456 Å³ per atom
Energy relative to the elements = -0.215 eV/atom

5.
First-principles (PBE-GGA) data for a relaxed structure of Pu3Cu7Ni2, as listed in the Alexandria database.

a b c (Å): 5.0676 5.0676 25.2375
angles (deg): 90.00 90.00 120.00
With the nearest neighbours (Å) after each atom.
Space group R-3m (No. 166, hexagonal axes)
Inequivalent atoms, fractional coordinates:
Pu (0.0000, 0.0000, 0.0000)  6 Ni 2.93, 12 Cu 3.24
Pu (0.0000, 0.0000, 0.1454)  12 Cu 2.97-3.09, 3 Pu 3.12
Cu (0.0000, 0.0000, 0.5000)  6 Cu 2.63
Cu (0.0011, 0.5005, 0.0800)  2 Ni 2.48-2.51, 5 Cu 2.53-2.63
Ni (0.0000, 0.0000, 0.3324)  6 Cu 2.48-2.51

Values from the calculation:
Final energy = -6.98 eV per atom
Volume = 15.591 Å³ per atom
Energy relative to the elements = -0.048 eV/atom

6.
First-principles (PBE-GGA) data for a relaxed structure of Pu2CuNi9, as listed in the Alexandria database.

a b c (Å): 4.8471 4.8471 24.1775
angles (deg): 90.00 90.00 120.00
With the nearest neighbours (Å) after each atom.
Space group R-3m (No. 166, hexagonal axes)
Inequivalent atoms, fractional coordinates:
Pu (0.0000, 0.0000, 0.1371)  9 Ni 2.78-2.89
Cu (0.0000, 0.0000, 0.0000)  18 Ni 2.80-3.12
Ni (0.0000, 0.0000, 0.3330)  6 Ni 2.40-2.42
Ni (0.0000, 0.0000, 0.5000)  6 Ni 2.50
Ni (0.0011, 0.5006, 0.9190)  7 Ni 2.40-2.50

Values from the calculation:
Final energy = -7.10 eV per atom
Volume = 13.665 Å³ per atom
Energy relative to the elements = -0.035 eV/atom

7.
First-principles (PBE-GGA) data for a relaxed structure of PuCuNi, as listed in the Alexandria database.

a b c (Å): 3.0711 3.0711 10.3122
angles (deg): 90.00 90.00 90.00
With the nearest neighbours (Å) after each atom.
Space group I4mm (No. 107)
Inequivalent atoms, fractional coordinates:
Pu (0.0000, 0.0000, 0.0000)  4 Ni 2.86, 5 Cu 3.02-3.06, 4 Pu 3.07
Cu (0.0000, 0.0000, 0.7029)  4 Ni 2.48
Ni (0.0000, 0.0000, 0.3198)  4 Cu 2.48

Values from the calculation:
Final energy = -8.02 eV per atom
Energy above the most stable polymorph in this dataset = 195 meV per atom
Volume = 16.210 Å³ per atom
Energy relative to the elements = 0.050 eV/atom

8.
First-principles (PBE-GGA) data for a relaxed structure of PuCu9Ni3, as listed in the Alexandria database.

a b c (Å): 4.8591 11.8191 6.3702
angles (deg): 90.00 111.39 90.00
With the nearest neighbours (Å) after each atom.
Space group C2/m (No. 12)
Inequivalent atoms, fractional coordinates:
Pu (0.0000, 0.0000, 0.0000)  14 Cu 2.96-3.23, 6 Ni 3.19
Cu (0.0000, 0.5000, 0.5000)  8 Cu 2.42-2.61, 2 Ni 2.43
Cu (0.1105, 0.3881, 0.2223)  3 Ni 2.41-2.45, 7 Cu 2.42-2.70
Cu (0.1643, 0.1776, 0.3508)  6 Cu 2.47-2.70, 3 Ni 2.55-2.57
Ni (0.0000, 0.0000, 0.5000)  10 Cu 2.43-2.55
Ni (0.2500, 0.2500, 0.0000)  8 Cu 2.41-2.57, 2 Ni 2.43

Values from the calculation:
Final energy = -5.29 eV per atom
Volume = 13.102 Å³ per atom
Energy relative to the elements = -0.020 eV/atom